# 1
# Mg2Cl3

A relaxed Mg2Cl3 crystal (GGA-PBE, the Alexandria database).

Output
Space group   R-3m
Energy relative to the elements, uncorrected   -123.96 kJ per mole of atoms
Fermi-level density of states   0.40 states/eV/atom

Unit cell a=9.9939 b=9.9939 c=9.9939 alpha=22.76 beta=22.76 gamma=22.76
With the nearest neighbours (Å) after each atom.
Sites, in units of the cell vectors:
Cl 0.0000 0.0000 0.0000  6 Mg 2.83
Cl 0.7660 0.7660 0.7660  3 Mg 2.58
Cl 0.2340 0.2340 0.2340  3 Mg 2.58
Mg 0.6089 0.6089 0.6089  6 Cl 2.58-2.83
Mg 0.3911 0.3911 0.3911  6 Cl 2.58-2.83

# 2
# CdNi2As

A relaxed CdNi2As crystal (GGA-PBE, the Alexandria database).

Output
Calculated formation energy   30 meV/atom
Space group   C2/m
ΔE to the lowest computed polymorph   85 meV/atom
Fermi-level density of states   0.72 states/eV/atom

Unit cell a=3.9706 b=3.9706 c=5.7855 alpha=79.35 beta=79.35 gamma=43.87
With the nearest neighbours (Å) after each atom.
Sites, in units of the cell vectors:
Ni 0.0083 0.0083 0.9391  3 As 2.38-2.41
Ni 0.4917 0.4917 0.5609  3 As 2.38-2.41
Cd 0.2500 0.2500 0.2500  6 Ni 2.77, 2 Cd 2.97
As 0.7500 0.7500 0.7500  6 Ni 2.38-2.41

# 3
# CeEr5Sc

A relaxed CeEr5Sc crystal (GGA-PBE, the Alexandria database).

Output
Calculated formation energy   247 meV/atom
Space group   C2/m
Fermi-level density of states   1.72 states/eV/atom

Unit cell a=6.8853 b=8.2222 c=5.9987 alpha=67.58 beta=54.98 gamma=100.84
With the nearest neighbours (Å) after each atom.
Sites, in units of the cell vectors:
Sc 0.5000 0.5000 0.5000  4 Er 3.24, 2 Ce 3.34
Er 0.2588 0.7295 0.8298  1 Ce 3.21, 1 Sc 3.24, 6 Er 3.32-3.52
Er 0.8182 0.7296 0.7111  1 Ce 3.21, 1 Sc 3.24, 6 Er 3.32-3.52
Er 0.7412 0.2705 0.1702  1 Ce 3.21, 1 Sc 3.24, 6 Er 3.32-3.52
Er 0.5000 0.0000 0.0000  8 Er 3.32-3.63, 2 Ce 3.44
Er 0.1818 0.2704 0.2889  1 Ce 3.21, 1 Sc 3.24, 6 Er 3.32-3.52
Ce 0.0000 0.0000 0.0000  6 Er 3.21-3.44, 2 Sc 3.34

# 4
# K2TlSe2

A relaxed K2TlSe2 crystal (GGA-PBE, the Alexandria database).

Output
Space group   P4/mbm
ΔE to the lowest computed polymorph   130 meV/atom
Energy relative to the elements, uncorrected   -67.43 kJ per mole of atoms
Fermi-level density of states   0.55 states/eV/atom

Unit cell a=8.3494 b=8.3494 c=4.6660 alpha=90.00 beta=90.00 gamma=90.00
With the nearest neighbours (Å) after each atom.
Sites, in units of the cell vectors:
Se 0.6796 0.1796 0.0000  2 Tl 3.07, 2 K 3.21
Se 0.3204 0.8204 0.0000  2 Tl 3.07, 2 K 3.21
Se 0.8204 0.6796 0.0000  2 Tl 3.07, 2 K 3.21
Se 0.1796 0.3204 0.0000  2 Tl 3.07, 2 K 3.21
Tl 0.0000 0.0000 0.0000  4 Se 3.07
Tl 0.5000 0.5000 0.0000  4 Se 3.07
K 0.1337 0.6337 0.5000  1 K 3.16, 6 Se 3.21-3.53
K 0.8663 0.3663 0.5000  1 K 3.16, 6 Se 3.21-3.53
K 0.6337 0.8663 0.5000  1 K 3.16, 6 Se 3.21-3.53
K 0.3663 0.1337 0.5000  1 K 3.16, 6 Se 3.21-3.53

# 5
# HgPt2Se

A relaxed HgPt2Se crystal (GGA-PBE, the Alexandria database).

Output
Space group   Pmmm
Energy relative to the elements, uncorrected   23.33 kJ per mole of atoms
Fermi-level density of states   0.31 states/eV/atom

Unit cell a=2.9878 b=5.2069 c=4.6848 alpha=90.00 beta=90.00 gamma=90.00
With the nearest neighbours (Å) after each atom.
Sites, in units of the cell vectors:
Se 0.5000 0.0000 0.5000  4 Pt 2.78, 2 Se 2.99, 4 Hg 3.00
Pt 0.5000 0.5000 0.0000  4 Hg 2.78, 6 Pt 2.99-3.00
Pt 0.0000 0.0000 0.0000  4 Se 2.78, 6 Pt 2.99-3.00
Hg 0.0000 0.5000 0.5000  4 Pt 2.78, 2 Hg 2.99, 4 Se 3.00

# 6
# CsPBr6

A relaxed CsPBr6 crystal (GGA-PBE, the Alexandria database).

Output
Space group   R-3m
ΔE to the lowest computed polymorph   0 meV/atom
Energy relative to the elements, uncorrected   -53.95 kJ per mole of atoms
Fermi-level density of states   0.28 states/eV/atom

Unit cell a=7.4310 b=7.4310 c=7.6707 alpha=61.03 beta=61.03 gamma=60.00
With the nearest neighbours (Å) after each atom.
Sites, in units of the cell vectors:
Br 0.6258 0.0787 0.2167  1 P 2.38
Br 0.9213 0.9213 0.7833  1 P 2.38
Br 0.0787 0.6258 0.2167  1 P 2.38
Br 0.3742 0.9213 0.7833  1 P 2.38
Br 0.9213 0.3742 0.7833  1 P 2.38
Br 0.0787 0.0787 0.2167  1 P 2.38
P 0.0000 0.0000 0.0000  6 Br 2.38
Cs 0.5000 0.5000 0.5000  12 Br 4.13

Let's list density in order: 1963, 8169, 7823, 4497, 15259, 3513 kg/m³.